No. 1
Entry from the Alexandria database: a geometry-optimized Sr2Nb2Se structure (PBE-GGA).

It has space group P4/mbm (No. 127), with a = 6.883 Å, b = 6.883 Å, c = 5.597 Å, α = 90.00°, β = 90.00° and γ = 90.00°. Symmetry generates all atoms from Sr at (0.168, 0.332, 0.000), Nb at (0.141, 0.641, 0.500) and Se at (0.000, 0.000, 0.500).

For the final energy, the calculation gives -51.6 eV per cell. The calculation puts the offset from the most stable computed form at 490 meV/atom. For the total magnetization, the calculation gives 0.000 μB per formula unit. The calculation puts the uncorrected formation energy at 0.2339 eV per atom.

No. 2
Entry from the Alexandria database: a geometry-optimized SrNbSe3 structure (PBE-GGA).

It has space group Pm-3m (No. 221), with a = 5.111 Å, b = 5.111 Å, c = 5.111 Å, α = 90.00°, β = 90.00° and γ = 90.00°. Symmetry generates all atoms from Sr at (0.000, 0.000, 0.000), Nb at (0.500, 0.500, 0.500) and Se at (0.000, 0.500, 0.500).

For the final energy, the calculation gives -27.4 eV per cell. The calculation puts the offset from the most stable computed form at 0 meV/atom. For the total magnetization, the calculation gives 0.000 μB per formula unit. The calculation puts the uncorrected formation energy at -1.0448 eV per atom.

No. 3
Entry from the Alexandria database: a geometry-optimized Sr2Nb2Se structure (PBE-GGA).

It has space group I4/mmm (No. 139), with a = 4.940 Å, b = 4.940 Å, c = 13.655 Å, α = 90.00°, β = 90.00° and γ = 90.00°. Symmetry generates all atoms from Sr at (0.000, 0.500, 0.250), Nb at (0.000, 0.000, 0.077) and Se at (0.000, 0.000, 0.500).

For the final energy, the calculation gives -43.0 eV per cell. The calculation puts the offset from the most stable computed form at 1356 meV/atom. For the total magnetization, the calculation gives 0.000 μB per formula unit. The calculation puts the uncorrected formation energy at 1.1003 eV per atom.

No. 4
Entry from the Alexandria database: a geometry-optimized SrTaNbSe2 structure (PBE-GGA).

It has space group P4/mmm (No. 123), with a = 4.973 Å, b = 4.973 Å, c = 5.904 Å, α = 90.00°, β = 90.00° and γ = 90.00°. Symmetry generates all atoms from Sr at (0.000, 0.000, 0.000), Ta at (0.000, 0.000, 0.500), Nb at (0.500, 0.500, 0.000) and Se at (0.000, 0.500, 0.500).

For the final energy, the calculation gives -25.6 eV per cell. For the total magnetization, the calculation gives 0.051 μB per formula unit. The calculation puts the uncorrected formation energy at 1.0019 eV per atom.

No. 5
Entry from the Alexandria database: a geometry-optimized SrTiNb2Se structure (PBE-GGA).

It has space group P4/mmm (No. 123), with a = 4.947 Å, b = 4.947 Å, c = 4.860 Å, α = 90.00°, β = 90.00° and γ = 90.00°. Symmetry generates all atoms from Sr at (0.000, 0.000, 0.000), Ti at (0.500, 0.500, 0.000), Nb at (0.000, 0.500, 0.500) and Se at (0.500, 0.500, 0.500).

For the final energy, the calculation gives -31.0 eV per cell. For the total magnetization, the calculation gives 1.621 μB per formula unit. The calculation puts the uncorrected formation energy at 0.4318 eV per atom.

No. 6
Entry from the Alexandria database: a geometry-optimized SrNbW2Se structure (PBE-GGA).

It has space group P4/mmm (No. 123), with a = 4.676 Å, b = 4.676 Å, c = 5.336 Å, α = 90.00°, β = 90.00° and γ = 90.00°. Symmetry generates all atoms from Sr at (0.000, 0.000, 0.000), Nb at (0.500, 0.500, 0.000), W at (0.000, 0.500, 0.500) and Se at (0.000, 0.000, 0.500).

For the final energy, the calculation gives -33.8 eV per cell. For the total magnetization, the calculation gives 1.199 μB per formula unit. The calculation puts the uncorrected formation energy at 1.4627 eV per atom.

No. 7
Entry from the Alexandria database: a geometry-optimized Ta2NbSe5 structure (PBE-GGA).

It has space group Cmcm (No. 63), with a = 5.030 Å, b = 12.064 Å, c = 11.460 Å, α = 90.00°, β = 90.00° and γ = 90.00°. Symmetry generates all atoms from Ta at (0.000, 0.147, 0.111), Nb at (0.000, 0.241, 0.750), Se at (0.000, 0.061, 0.613), Se at (0.000, 0.318, 0.250) and Se at (0.000, 0.333, 0.543).

For the final energy, the calculation gives -222.0 eV per cell. The calculation puts the offset from the most stable computed form at 0 meV/atom. For the total magnetization, the calculation gives 0.000 μB per formula unit. The calculation puts the uncorrected formation energy at -0.5365 eV per atom.

No. 8
Entry from the Alexandria database: a geometry-optimized TaNbSe structure (PBE-GGA).

It has space group C2/m (No. 12), with a = 11.279 Å, b = 3.155 Å, c = 7.876 Å, α = 90.00°, β = 124.19° and γ = 90.00°. Symmetry generates all atoms from Ta at (0.152, 0.000, 0.177), Nb at (0.123, 0.000, 0.812) and Se at (0.102, 0.500, 0.412).

For the final energy, the calculation gives -102.4 eV per cell. The calculation puts the offset from the most stable computed form at 457 meV/atom. For the total magnetization, the calculation gives 0.000 μB per formula unit. The calculation puts the uncorrected formation energy at -0.0677 eV per atom.

Question: total magnetization of number 8 (TaNbSe)?
Answer: 0.000 μB per formula unit